# Mg2SiGe2Pd5 PBE-GGA relaxed
# N(E_F) in states/eV/cell: 9.01
# ΔE_f (raw) in eV/atom: -0.508
data_Mg2SiGe2Pd5
_cell_length_a 10.231
_cell_length_b 10.231
_cell_length_c 3.114
_cell_angle_alpha 90.00
_cell_angle_beta 90.00
_cell_angle_gamma 90.00
_symmetry_space_group_name_H-M 'P 4/m b m'
_symmetry_Int_Tables_number 127
_symmetry_space_group_name_Hall '-P 4 2ab'
loop_
_atom_site_label
_atom_site_type_symbol
_atom_site_fract_x
_atom_site_fract_y
_atom_site_fract_z
_atom_site_occupancy
Mg1 Mg 0.167 0.333 0.000 1
Si1 Si 0.000 0.000 0.000 1
Ge1 Ge 0.142 0.642 0.000 1
Pd1 Pd 0.000 0.500 0.500 1
Pd2 Pd 0.024 0.805 0.500 1